Record 1
Compound: Cr2SbRh
Source: Alexandria
Functional: PBE
Structure: optimized geometry

Cell lengths 9.213, 3.012, 4.562 Å; angles 90.00, 104.76, 90.00 degrees
Fractional coordinates of all 8 atoms:
Cr 0.246 0.000 0.182
Cr 0.254 0.500 0.818
Cr 0.746 0.500 0.182
Cr 0.754 0.000 0.818
Sb 0.000 0.000 0.500
Sb 0.500 0.500 0.500
Rh 0.000 0.500 0.000
Rh 0.500 0.000 0.000

## Properties
symmetry = No. 12
crystal system = monoclinic
DFT total energy = -59.8 eV/cell

=====

Record 2
Compound: NaIO2
Source: Alexandria
Functional: PBE
Structure: optimized geometry

Cell lengths 3.390, 3.390, 19.828 Å; angles 90.00, 90.00, 120.00 degrees
Fractional coordinates of all 12 atoms:
Na 0.000 0.000 0.000
Na 0.333 0.667 0.667
Na 0.667 0.333 0.333
I 0.000 0.000 0.500
I 0.333 0.667 0.167
I 0.667 0.333 0.833
O 0.000 0.000 0.402
O 0.000 0.000 0.598
O 0.333 0.667 0.068
O 0.333 0.667 0.265
O 0.667 0.333 0.735
O 0.667 0.333 0.932

## Properties
symmetry = No. 166
crystal system = trigonal
relative energy among the computed polymorphs = 81.3 kJ/mol of formula units

=====

| no. | mass density (g cm⁻³) | magnetization (μB/cell) |
| --- | --- | --- |
| 1 | 8.92 | 0.00 |
| 2 | 4.59 | 0.00 |